# 1
This record from the Alexandria database describes a geometry-optimized KZr2InTc structure. The functional is GGA-PBEsol.

Cell and atoms, written as POSCAR:
```
KZr2InTc
1.0
-2.208 -1.896 3.599
3.959 -0.059 2.397
-1.052 4.746 1.854
In K Zr Tc
1 1 2 1
Direct
0.000 0.000 0.500 In
0.000 0.000 0.000 K
0.000 0.500 0.000 Zr
0.500 0.000 0.000 Zr
0.500 0.500 0.500 Tc
```

Computed properties:
- total moment (μB/cell) = 2.154
- DOS at the Fermi energy (states/eV/f.u.) = 5.50



# 2
This record from the Alexandria database describes a geometry-optimized KTiIn3 structure. The functional is GGA-PBEsol.

Cell and atoms, written as POSCAR:
```
KTiIn3
1.0
-0.260 1.622 -5.111
-4.273 -3.154 -0.783
-3.239 4.030 1.444
In Ti K
3 1 1
Direct
0.000 0.000 0.500 In
0.500 0.000 0.000 In
0.000 0.500 0.000 In
0.000 0.000 0.000 Ti
0.500 0.500 0.500 K
```

Computed properties:
- total moment (μB/cell) = 1.601
- DOS at the Fermi energy (states/eV/f.u.) = 4.62



# 3
This record from the Alexandria database describes a geometry-optimized K2TlIn structure. The functional is GGA-PBEsol.

Cell and atoms, written as POSCAR:
```
K2TlIn
1.0
4.027 0.000 -0.042
0.000 5.243 0.000
-1.917 0.000 7.000
K Tl In
2 1 1
Direct
0.036 0.000 0.951 K
0.714 0.500 0.300 K
0.324 0.000 0.522 Tl
0.426 0.500 0.728 In
```

Computed properties:
- energy above the lowest structure with this stoichiometry (eV per atom) = 0.039
- total moment (μB/cell) = 0.000
- DOS at the Fermi energy (states/eV/f.u.) = 2.20



# 4
This record from the Alexandria database describes a geometry-optimized KTlIn2 structure. The functional is GGA-PBEsol.

Cell and atoms, written as POSCAR:
```
KTlIn2
1.0
3.847 0.000 0.000
0.000 3.847 0.000
0.000 0.000 8.187
Tl K In
1 1 2
Direct
0.500 0.500 0.500 Tl
0.500 0.500 0.000 K
0.000 0.000 0.702 In
0.000 0.000 0.298 In
```

Computed properties:
- energy above the lowest structure with this stoichiometry (eV per atom) = 0.040
- total moment (μB/cell) = 0.000
- DOS at the Fermi energy (states/eV/f.u.) = 1.79



# 5
This record from the Alexandria database describes a geometry-optimized K2TlIn structure. The functional is GGA-PBEsol.

Cell and atoms, written as POSCAR:
```
K2TlIn
1.0
-0.831 -3.755 -0.464
5.639 -1.477 1.854
-4.247 2.306 5.118
In K Tl
1 2 1
Direct
0.217 0.724 0.434 In
0.975 0.971 0.949 K
0.777 0.282 0.555 K
0.531 0.524 0.062 Tl
```

Computed properties:
- energy above the lowest structure with this stoichiometry (eV per atom) = 0.026
- total moment (μB/cell) = 0.000
- DOS at the Fermi energy (states/eV/f.u.) = 2.08



# 6
This record from the Alexandria database describes a geometry-optimized KTlIn2 structure. The functional is GGA-PBEsol.

Cell and atoms, written as POSCAR:
```
KTlIn2
1.0
3.467 0.000 0.000
-1.733 4.680 -0.016
0.000 -0.993 7.660
Tl In K
1 2 1
Direct
0.257 0.513 0.800 Tl
0.743 0.485 0.191 In
0.001 0.002 0.011 In
0.500 0.000 0.498 K
```

Computed properties:
- energy above the lowest structure with this stoichiometry (eV per atom) = 0.029
- total moment (μB/cell) = 0.000
- DOS at the Fermi energy (states/eV/f.u.) = 1.50



# 7
This record from the Alexandria database describes a geometry-optimized KTlIn structure. The functional is GGA-PBEsol.

Cell and atoms, written as POSCAR:
```
KTlIn
1.0
-1.669 3.255 -0.816
-4.639 -2.015 1.454
3.033 2.443 3.539
In K Tl
1 1 1
Direct
0.500 0.000 0.000 In
0.000 0.333 0.667 K
0.500 0.667 0.333 Tl
```

Computed properties:
- energy above the lowest structure with this stoichiometry (eV per atom) = 0.000
- total moment (μB/cell) = 0.000
- DOS at the Fermi energy (states/eV/f.u.) = 1.15



# 8
This record from the Alexandria database describes a geometry-optimized K2Tl2In structure. The functional is GGA-PBEsol.

Cell and atoms, written as POSCAR:
```
K2Tl2In
1.0
-2.738 -4.184 -2.648
6.827 -2.631 -2.901
0.914 -4.599 6.321
In Tl K
2 4 4
Direct
0.000 0.500 0.500 In
0.000 0.000 0.000 In
0.000 0.136 0.364 Tl
0.000 0.864 0.636 Tl
0.000 0.636 0.136 Tl
0.000 0.364 0.864 Tl
0.500 0.177 0.677 K
0.500 0.323 0.177 K
0.500 0.677 0.823 K
0.500 0.823 0.323 K
```

Computed properties:
- total moment (μB/cell) = 0.000
- DOS at the Fermi energy (states/eV/f.u.) = 3.89



# 9
This record from the Alexandria database describes a geometry-optimized KTlIn3 structure. The functional is GGA-PBEsol.

Cell and atoms, written as POSCAR:
```
KTlIn3
1.0
5.766 0.000 0.000
0.000 5.766 0.000
0.000 0.000 5.766
K In Tl
1 3 1
Direct
0.500 0.500 0.500 K
0.500 0.000 0.000 In
0.000 0.000 0.500 In
0.000 0.500 0.000 In
0.000 0.000 0.000 Tl
```

Computed properties:
- total moment (μB/cell) = 0.000
- DOS at the Fermi energy (states/eV/f.u.) = 2.58



# 10
This record from the Alexandria database describes a geometry-optimized KTlIn2 structure. The functional is GGA-PBEsol.

Cell and atoms, written as POSCAR:
```
KTlIn2
1.0
-4.075 0.573 0.264
-0.372 -0.218 -5.278
1.497 -5.473 2.777
In K Tl
2 1 1
Direct
0.766 0.766 0.531 In
0.234 0.234 0.469 In
0.000 0.500 0.000 K
0.500 0.000 0.000 Tl
```

Computed properties:
- energy above the lowest structure with this stoichiometry (eV per atom) = 0.092
- total moment (μB/cell) = 0.000
- DOS at the Fermi energy (states/eV/f.u.) = 2.08



# 11
This record from the Alexandria database describes a geometry-optimized KTlIn2 structure. The functional is GGA-PBEsol.

Cell and atoms, written as POSCAR:
```
KTlIn2
1.0
3.379 0.000 0.049
0.000 4.744 0.000
-1.496 0.000 7.401
K In Tl
1 2 1
Direct
0.989 0.000 0.499 K
0.399 0.500 0.205 In
0.029 0.000 0.004 In
0.582 0.500 0.791 Tl
```

Computed properties:
- energy above the lowest structure with this stoichiometry (eV per atom) = 0.007
- total moment (μB/cell) = 0.000
- DOS at the Fermi energy (states/eV/f.u.) = 1.51



# 12
This record from the Alexandria database describes a geometry-optimized K2TlIn structure. The functional is GGA-PBEsol.

Cell and atoms, written as POSCAR:
```
K2TlIn
1.0
3.967 0.000 0.000
0.000 3.967 0.000
0.000 0.000 9.884
In K Tl
1 2 1
Direct
0.500 0.500 0.704 In
0.000 0.000 0.933 K
0.500 0.500 0.318 K
0.000 0.000 0.545 Tl
```

Computed properties:
- energy above the lowest structure with this stoichiometry (eV per atom) = 0.026
- total moment (μB/cell) = 0.000
- DOS at the Fermi energy (states/eV/f.u.) = 1.84



# 13
This record from the Alexandria database describes a geometry-optimized KTlIn structure. The functional is GGA-PBEsol.

Cell and atoms, written as POSCAR:
```
KTlIn
1.0
3.643 0.000 0.000
0.000 3.643 0.000
-1.821 -1.821 6.961
K In Tl
1 1 1
Direct
0.667 0.667 0.334 K
0.985 0.985 0.970 In
0.348 0.348 0.696 Tl
```

Computed properties:
- energy above the lowest structure with this stoichiometry (eV per atom) = 0.017
- total moment (μB/cell) = 0.000
- DOS at the Fermi energy (states/eV/f.u.) = 1.50



# 14
This record from the Alexandria database describes a geometry-optimized KTlIn2 structure. The functional is GGA-PBEsol.

Cell and atoms, written as POSCAR:
```
KTlIn2
1.0
-0.659 2.139 2.541
-3.546 1.948 -2.559
-4.510 -5.671 1.933
In Tl K
2 1 1
Direct
0.915 0.000 0.706 In
0.085 0.000 0.294 In
0.500 0.500 0.500 Tl
0.500 0.500 0.000 K
```

Computed properties:
- energy above the lowest structure with this stoichiometry (eV per atom) = 0.045
- total moment (μB/cell) = 0.000
- DOS at the Fermi energy (states/eV/f.u.) = 1.84



# 15
This record from the Alexandria database describes a geometry-optimized KTlIn2 structure. The functional is GGA-PBEsol.

Cell and atoms, written as POSCAR:
```
KTlIn2
1.0
3.793 0.010 0.000
-0.078 3.792 0.000
0.000 0.000 8.228
In K Tl
2 1 1
Direct
0.500 0.500 0.797 In
0.000 0.000 0.994 In
0.000 0.000 0.501 K
0.500 0.500 0.208 Tl
```

Computed properties:
- energy above the lowest structure with this stoichiometry (eV per atom) = 0.000
- total moment (μB/cell) = 0.000
- DOS at the Fermi energy (states/eV/f.u.) = 1.79



# 16
This record from the Alexandria database describes a geometry-optimized K2TlIn structure. The functional is GGA-PBEsol.

Cell and atoms, written as POSCAR:
```
K2TlIn
1.0
5.582 0.000 0.000
2.791 4.834 0.000
2.791 1.611 4.558
In Tl K
1 1 2
Direct
0.250 0.250 0.250 In
0.500 0.500 0.500 Tl
0.000 0.000 0.000 K
0.750 0.750 0.750 K
```

Computed properties:
- energy above the lowest structure with this stoichiometry (eV per atom) = 0.000
- total moment (μB/cell) = 0.000
- DOS at the Fermi energy (states/eV/f.u.) = 0.76



# 17
This record from the Alexandria database describes a geometry-optimized KTlIn2 structure. The functional is GGA-PBEsol.

Cell and atoms, written as POSCAR:
```
KTlIn2
1.0
5.397 0.000 0.000
2.698 4.674 0.000
2.698 1.558 4.407
In Tl K
2 1 1
Direct
0.750 0.750 0.750 In
0.000 0.000 0.000 In
0.250 0.250 0.250 Tl
0.500 0.500 0.500 K
```

Computed properties:
- energy above the lowest structure with this stoichiometry (eV per atom) = 0.035
- total moment (μB/cell) = 0.000
- DOS at the Fermi energy (states/eV/f.u.) = 1.16



# 18
This record from the Alexandria database describes a geometry-optimized K2TlIn structure. The functional is GGA-PBEsol.

Cell and atoms, written as POSCAR:
```
K2TlIn
1.0
4.660 0.000 0.000
0.000 5.219 0.000
0.000 0.000 5.626
Tl In K
1 1 2
Direct
0.500 0.000 0.500 Tl
0.000 0.500 0.500 In
0.500 0.500 0.000 K
0.000 0.000 0.000 K
```

Computed properties:
- energy above the lowest structure with this stoichiometry (eV per atom) = 0.140
- total moment (μB/cell) = 0.000
- DOS at the Fermi energy (states/eV/f.u.) = 2.93



# 19
This record from the Alexandria database describes a geometry-optimized KTlInW2 structure. The functional is GGA-PBEsol.

Cell and atoms, written as POSCAR:
```
KTlInW2
1.0
5.138 0.000 0.000
0.000 5.138 0.000
0.000 0.000 5.792
K Tl W In
1 1 2 1
Direct
0.000 0.000 0.500 K
0.500 0.500 0.500 Tl
0.000 0.500 0.000 W
0.500 0.000 0.000 W
0.000 0.000 0.000 In
```

Computed properties:
- total moment (μB/cell) = 5.656
- DOS at the Fermi energy (states/eV/f.u.) = 6.39



# 20
This record from the Alexandria database describes a geometry-optimized KIn2W structure. The functional is GGA-PBEsol.

Cell and atoms, written as POSCAR:
```
KIn2W
1.0
-1.522 2.399 0.764
-0.034 -0.912 2.797
8.973 5.126 1.779
In W K
2 1 1
Direct
0.000 0.000 0.983 In
0.500 0.500 0.224 In
0.500 0.500 0.783 W
0.000 0.000 0.510 K
```

Computed properties:
- energy above the lowest structure with this stoichiometry (eV per atom) = 0.000
- total moment (μB/cell) = 0.000
- DOS at the Fermi energy (states/eV/f.u.) = 2.03



What did we get for E? Answer: -4.476; -3.484; -2.010; -2.477; -2.024; -2.489; -2.338; -2.139; -2.259; -2.426; -2.510; -2.023; -2.321; -2.472; -2.517; -2.049; -2.483; -1.909; -4.516; -4.490 eV per atom, in the order shown.